[1]
The following is a PBE calculation of crystalline Ba2CuAs at its relaxed geometry, from Alexandria.

```
4
Lattice="5.529 0.000 0.000 2.765 4.788 0.000 2.765 1.596 4.515" Properties=species:S:1:pos:R:3 pbc="T T T"
As 5.529 3.192 2.257
Ba 0.000 0.000 0.000
Ba 2.765 1.596 1.129
Cu 8.294 4.788 3.386
```

Summary:
Magnetic moment (μB per atom): 0.000
Uncorrected energy (eV per cell): -12.79
Density of states at the Fermi level (states/eV/atom): 0.441
ΔH_f (0 K) (eV per atom): -0.05
Space-group type: F-43m, No. 216


[2]
The following is a PBE calculation of crystalline Li2AgPb at its relaxed geometry, from Alexandria.

```
8
Lattice="7.540 0.000 0.000 0.000 7.540 0.000 3.770 3.770 2.950" Properties=species:S:1:pos:R:3 pbc="T T T"
Pb 0.000 0.000 0.000
Pb 7.540 3.770 1.475
Ag 3.770 3.770 0.000
Ag 3.770 7.540 1.475
Li 5.460 1.885 0.737
Li 2.080 5.655 0.737
Li 5.655 5.850 2.212
Li 9.425 9.229 2.212
```

Summary:
Magnetic moment (μB per atom): 0.000
Uncorrected energy (eV per cell): -21.21
Density of states at the Fermi level (states/eV/atom): 0.365
ΔH_f (0 K) (eV per atom): -0.05
Space-group type: I-42d, No. 122


[3]
The following is a PBE calculation of crystalline Mg4PdRh at its relaxed geometry, from Alexandria.

```
6
Lattice="3.206 -0.001 0.000 0.001 3.206 0.000 -0.001 -0.001 10.331" Properties=species:S:1:pos:R:3 pbc="T T T"
Mg 1.603 1.602 8.878
Mg 1.603 1.603 1.453
Mg 3.206 3.205 6.706
Mg 0.000 0.000 3.625
Pd 1.603 1.602 5.166
Rh 0.000 0.000 0.000
```

Summary:
Magnetic moment (μB per atom): 0.000
Uncorrected energy (eV per cell): -21.79
Density of states at the Fermi level (states/eV/atom): 0.327
ΔH_f (0 K) (eV per atom): -0.48
Space-group type: P4/mmm, No. 123


[4]
The following is a PBE calculation of crystalline CdHgTe2 at its relaxed geometry, from Alexandria.

```
16
Lattice="-5.498 -1.336 3.541 0.164 -11.119 -3.942 3.783 -1.788 5.199" Properties=species:S:1:pos:R:3 pbc="T T T"
Te -1.900 -10.449 -0.605
Te -0.125 -3.570 4.752
Te 2.657 -5.116 2.196
Te -4.681 -8.903 1.950
Te -2.756 -12.011 3.765
Te 0.732 -2.009 0.383
Te -1.984 -4.890 1.368
Te -0.040 -9.129 2.779
Hg 2.254 -7.568 3.789
Hg -2.386 -7.345 2.959
Hg 0.445 -12.234 -0.782
Hg -0.576 -2.680 7.530
Cd 2.336 -13.128 1.817
Cd -2.469 -1.785 4.929
Cd 0.362 -6.675 1.188
Cd -0.495 -8.238 5.558
```

Summary:
Magnetic moment (μB per atom): 0.000
Uncorrected energy (eV per cell): -32.67
Density of states at the Fermi level (states/eV/atom): 0.024
Space-group type: P4_2/nmc, No. 137
Formation energy without anion corrections (eV/atom): -0.167


[5]
The following is a PBE calculation of crystalline LiCa2ZnIn6 at its relaxed geometry, from Alexandria.

```
10
Lattice="7.126 -1.265 -1.621 -0.796 7.004 1.333 2.208 4.036 5.597" Properties=species:S:1:pos:R:3 pbc="T T T"
Li 3.165 2.870 -0.144
Ca 2.237 6.980 3.459
Ca 6.302 2.796 1.850
Zn 0.000 0.000 0.000
In 1.551 5.323 0.598
In 7.742 7.438 4.200
In 3.085 3.780 2.703
In 6.987 4.452 4.710
In 0.796 2.337 1.109
In 5.453 5.996 2.605
```

Summary:
Magnetic moment (μB per atom): 0.000
Uncorrected energy (eV per cell): -25.47
Density of states at the Fermi level (states/eV/atom): 0.352
ΔH_f (0 K) (eV per atom): -0.19
Space-group type: P-1, No. 2


[6]
The following is a PBE calculation of crystalline CaSiNi2 at its relaxed geometry, from Alexandria.

```
4
Lattice="-1.670 2.213 3.240 -3.900 -0.563 -1.626 -0.315 -2.724 1.698" Properties=species:S:1:pos:R:3 pbc="T T T"
Ca -2.108 -1.644 0.036
Ni 0.000 0.000 0.000
Ni -2.785 0.825 0.807
Si -0.993 -0.256 2.469
```

Summary:
Magnetic moment (μB per atom): 0.000
Uncorrected energy (eV per cell): -19.17
Density of states at the Fermi level (states/eV/atom): 0.512
Space-group type: P4/mmm, No. 123
Formation energy without anion corrections (eV/atom): -0.045


[7]
The following is a PBE calculation of crystalline LiHN at its relaxed geometry, from Alexandria.

```
6
Lattice="-2.313 -2.407 -0.883 -0.225 -2.831 1.980 -3.976 0.693 2.211" Properties=species:S:1:pos:R:3 pbc="T T T"
Li -2.564 -3.891 0.732
Li -4.870 -2.039 1.902
H -2.583 -2.478 2.783
H -2.729 -1.237 0.854
N -4.500 -2.885 3.707
N -3.379 -3.137 2.683
```

Summary:
Magnetic moment (μB per atom): 0.000
Uncorrected energy (eV per cell): -28.05
Space-group type: P1, No. 1